# 1
# Cs2KLi, optimized geometry, DFT PBE
# **Excess energy over the best structure of this formula in the dataset**: 24 meV per atom
# **Energy**: -1.04 eV per atom
# **Energy of formation**: 0.1378 eV/atom
data_Cs2KLi
_chemical_formula_sum 'Cs2 K1 Li1'
_cell_length_a 7.230
_cell_length_b 7.230
_cell_length_c 5.830
_cell_angle_alpha 90.00
_cell_angle_beta 90.00
_cell_angle_gamma 90.00
_space_group_name_H-M_alt 'P 4/m m m'
_space_group_IT_number 123
_space_group_name_Hall '-P 4 2'
loop_
_atom_site_label
_atom_site_type_symbol
_atom_site_fract_x
_atom_site_fract_y
_atom_site_fract_z
_atom_site_occupancy
Cs1 Cs 0.000 0.500 0.000 1
K1 K 0.000 0.000 0.500 1
Li1 Li 0.500 0.500 0.500 1

# 2
# Pm3H3Pb, optimized geometry, DFT PBE
# **Energy**: -4.53 eV per atom
data_Pm3H3Pb
_chemical_formula_sum 'Pm6 H6 Pb2'
_cell_length_a 8.5161
_cell_length_b 8.5161
_cell_length_c 4.3766
_cell_angle_alpha 90.00
_cell_angle_beta 90.00
_cell_angle_gamma 120.00
_space_group_name_H-M_alt 'P 63/m'
_space_group_IT_number 176
_space_group_name_Hall '-P 6c'
loop_
_atom_site_label
_atom_site_type_symbol
_atom_site_fract_x
_atom_site_fract_y
_atom_site_fract_z
_atom_site_occupancy
Pm1 Pm 0.0699 0.7180 0.2500 1
H1 H 0.0424 0.8092 0.7500 1
Pb1 Pb 0.3333 0.6667 0.7500 1

# 3
# Mn2SeCl, optimized geometry, DFT PBE
# **Excess energy over the best structure of this formula in the dataset**: 278 meV per atom
# **Formation energy (no corrections)**: -0.052 eV per atom
# **Energy**: -5.97 eV per atom
data_Mn2SeCl
_chemical_formula_sum 'Mn2 Se1 Cl1'
_cell_length_a 3.541
_cell_length_b 3.653
_cell_length_c 6.190
_cell_angle_alpha 90.00
_cell_angle_beta 90.00
_cell_angle_gamma 90.00
_space_group_name_H-M_alt 'P m m m'
_space_group_IT_number 47
loop_
_space_group_symop_operation_xyz
'x,y,z'
'-x,-y,-z'
'-x,-y,z'
'x,y,-z'
'x,-y,-z'
'-x,y,z'
'-x,y,-z'
'x,-y,z'
loop_
_atom_site_label
_atom_site_type_symbol
_atom_site_fract_x
_atom_site_fract_y
_atom_site_fract_z
_atom_site_occupancy
Mn1 Mn 0.000 0.000 0.000 1
Mn2 Mn 0.500 0.000 0.500 1
Se1 Se 0.000 0.500 0.500 1
Cl1 Cl 0.500 0.500 0.000 1